No. 1
# PBE CaTi2FeBi, optimized geometry
data_CaTi2FeBi
_cell_length_a 4.6594
_cell_length_b 4.6594
_cell_length_c 5.1242
_cell_angle_alpha 90.00
_cell_angle_beta 90.00
_cell_angle_gamma 90.00
_space_group_name_H-M_alt 'P 4/m m m'
_space_group_IT_number 123
_space_group_name_Hall '-P 4 2'
loop_
_atom_site_label
_atom_site_fract_x
_atom_site_fract_y
_atom_site_fract_z
Ca1 0.0000 0.0000 0.0000
Ti1 0.0000 0.5000 0.5000
Fe1 0.5000 0.5000 0.5000
Bi1 0.5000 0.5000 0.0000
# - formation enthalpy at 0 K (kJ/mol of formula units) = 124
# - total magnetization (μB/f.u.) = 1.471
# - E_tot (eV/atom) = -5.7696

---

No. 2
# PBE CuSn3W, optimized geometry
data_CuSn3W
_cell_length_a 5.2657
_cell_length_b 5.2657
_cell_length_c 5.2657
_cell_angle_alpha 90.00
_cell_angle_beta 90.00
_cell_angle_gamma 90.00
_space_group_name_H-M_alt 'P m -3 m'
_space_group_IT_number 221
_space_group_name_Hall '-P 4 2 3'
loop_
_atom_site_label
_atom_site_fract_x
_atom_site_fract_y
_atom_site_fract_z
Cu1 0.0000 0.0000 0.0000
Sn1 0.0000 0.5000 0.5000
W1 0.5000 0.5000 0.5000
# - formation enthalpy at 0 K (kJ/mol of formula units) = 368
# - total magnetization (μB/f.u.) = 0.925
# - E_tot (eV/atom) = -5.0496